DFT (meta-GGA SCAN) results for a crystal of CaLaSi relaxed with PBEsol.

Lattice parameters (Å, degrees): 5.032 5.032 5.032 60.00 60.00 60.00
Positions (direct):
Ca1 0.000 0.000 0.000
La1 0.500 0.500 0.500
Si1 0.250 0.250 0.250

The value obtained for the total energy is -21.446 eV per atom. The value obtained for the magnetic moment is 0.000 μB per formula unit. As for the crystal system: cubic. As for the space group: F-43m (216). For the energy relative to the elements, uncorrected, the calculation gives -518 meV/atom. Its volume is 90.1 Å³/f.u.

DFT (meta-GGA SCAN) results for a crystal of CaLaSi4 relaxed with PBEsol.

Lattice parameters (Å, degrees): 7.352 7.352 7.352 145.88 145.88 49.03
Positions (direct):
Ca1 0.000 0.000 0.000
La1 0.250 0.750 0.500
Si1 0.414 0.414 0.000
Si2 0.586 0.586 0.000
Si3 0.664 0.164 0.500
Si4 0.836 0.336 0.500

The value obtained for the total energy is -16.001 eV per atom. The value obtained for the magnetic moment is 0.000 μB per formula unit. As for the crystal system: tetragonal. As for the space group: I-4m2 (119). For the energy relative to the elements, uncorrected, the calculation gives -529 meV/atom. Its volume is 124.5 Å³/f.u.

DFT (meta-GGA SCAN) results for a crystal of CaLa2Si relaxed with PBEsol.

Lattice parameters (Å, degrees): 10.648 10.648 10.648 20.01 20.01 20.01
Positions (direct):
Ca1 0.000 0.000 0.000
La1 0.227 0.227 0.227
La2 0.466 0.466 0.466
Si1 0.732 0.732 0.732

The value obtained for the total energy is -26.508 eV per atom. The value obtained for the magnetic moment is 0.606 μB per formula unit. As for the crystal system: trigonal. As for the space group: R3m (160). For the energy relative to the elements, uncorrected, the calculation gives -35 meV/atom. Its volume is 123.6 Å³/f.u.

DFT (meta-GGA SCAN) results for a crystal of Ca4LaSi relaxed with PBEsol.

Lattice parameters (Å, degrees): 6.583 6.583 6.583 60.00 60.00 60.00
Positions (direct):
Ca1 0.376 0.376 0.376
Ca2 0.376 0.376 0.873
Ca3 0.376 0.873 0.376
Ca4 0.873 0.376 0.376
La1 0.000 0.000 0.000
Si1 0.750 0.750 0.750

The value obtained for the total energy is -14.813 eV per atom. The value obtained for the magnetic moment is 3.176 μB per formula unit. As for the crystal system: cubic. As for the space group: F-43m (216). For the energy relative to the elements, uncorrected, the calculation gives 483 meV/atom. Its volume is 201.8 Å³/f.u.

DFT (meta-GGA SCAN) results for a crystal of CaLa2Si relaxed with PBEsol.

Lattice parameters (Å, degrees): 6.555 6.555 6.555 144.32 134.29 59.30
Positions (direct):
Ca1 0.000 0.000 0.000
La1 0.298 0.798 0.500
La2 0.702 0.202 0.500
Si1 0.500 0.500 0.000

The value obtained for the total energy is -26.716 eV per atom. The value obtained for the magnetic moment is 0.000 μB per formula unit. As for the crystal system: orthorhombic. As for the space group: Immm (71). For the energy relative to the elements, uncorrected, the calculation gives -244 meV/atom. Its volume is 116.5 Å³/f.u.

DFT (meta-GGA SCAN) results for a crystal of Ca2LaTa relaxed with PBEsol.

Lattice parameters (Å, degrees): 5.522 5.522 6.666 95.28 95.28 34.43
Positions (direct):
Ca1 0.000 0.000 0.000
Ca2 0.239 0.239 0.722
La1 0.482 0.482 0.429
Ta1 0.744 0.744 0.272

The calculation puts the calculated formation energy at 0.629 eV/atom. The value obtained for the total energy is -31.624 eV per atom. The excess energy over the best structure of this formula in the dataset is 5.0 meV per atom. The value obtained for the magnetic moment is 0.039 μB per formula unit. As for the crystal system: monoclinic. As for the space group: Cm (8). Its volume is 114.4 Å³/f.u.

DFT (meta-GGA SCAN) results for a crystal of CaLaTa2 relaxed with PBEsol.

Lattice parameters (Å, degrees): 3.515 3.515 8.626 90.00 90.00 90.00
Positions (direct):
Ca1 0.000 0.000 0.000
La1 0.500 0.500 0.371
Ta1 0.000 0.000 0.617
Ta2 0.500 0.500 0.749

The calculation puts the calculated formation energy at 0.355 eV/atom. The value obtained for the total energy is -46.129 eV per atom. The value obtained for the magnetic moment is 0.001 μB per formula unit. As for the crystal system: tetragonal. As for the space group: P4mm (99). Its volume is 106.6 Å³/f.u.

DFT (meta-GGA SCAN) results for a crystal of CaLa2Ta relaxed with PBEsol.

Lattice parameters (Å, degrees): 6.855 6.855 6.855 152.24 128.09 59.89
Positions (direct):
Ca1 0.000 0.000 0.000
La1 0.290 0.790 0.500
La2 0.710 0.210 0.500
Ta1 0.500 0.500 0.000

The calculation puts the calculated formation energy at 0.519 eV/atom. The value obtained for the total energy is -40.095 eV per atom. The excess energy over the best structure of this formula in the dataset is 0.0 meV per atom. The value obtained for the magnetic moment is 0.000 μB per formula unit. As for the crystal system: orthorhombic. As for the space group: Immm (71). Its volume is 117.2 Å³/f.u.

DFT (meta-GGA SCAN) results for a crystal of CaLa2Ta relaxed with PBEsol.

Lattice parameters (Å, degrees): 3.305 4.976 6.851 90.00 90.00 90.00
Positions (direct):
Ca1 0.000 0.000 0.000
La1 0.000 0.000 0.542
La2 0.500 0.500 0.296
Ta1 0.500 0.500 0.752

The calculation puts the calculated formation energy at 0.577 eV/atom. The value obtained for the total energy is -40.037 eV per atom. The excess energy over the best structure of this formula in the dataset is 57.9 meV per atom. The value obtained for the magnetic moment is 0.001 μB per formula unit. As for the crystal system: orthorhombic. As for the space group: Pmm2 (25). Its volume is 112.7 Å³/f.u.

DFT (meta-GGA SCAN) results for a crystal of Ca4LaTa relaxed with PBEsol.

Lattice parameters (Å, degrees): 6.547 6.547 6.547 60.00 60.00 60.00
Positions (direct):
Ca1 0.376 0.376 0.376
Ca2 0.376 0.376 0.873
Ca3 0.376 0.873 0.376
Ca4 0.873 0.376 0.376
La1 0.000 0.000 0.000
Ta1 0.750 0.750 0.750

The calculation puts the calculated formation energy at 0.834 eV/atom. The value obtained for the total energy is -23.889 eV per atom. The value obtained for the magnetic moment is 4.038 μB per formula unit. As for the crystal system: cubic. As for the space group: F-43m (216). Its volume is 198.4 Å³/f.u.

DFT (meta-GGA SCAN) results for a crystal of Ca2LaTa relaxed with PBEsol.

Lattice parameters (Å, degrees): 7.299 7.299 7.299 153.40 136.11 52.06
Positions (direct):
Ca1 0.203 0.203 0.000
Ca2 0.797 0.797 0.000
La1 0.500 0.000 0.500
Ta1 0.000 0.500 0.500

The calculation puts the calculated formation energy at 0.624 eV/atom. The value obtained for the total energy is -31.629 eV per atom. The excess energy over the best structure of this formula in the dataset is 0.0 meV per atom. The value obtained for the magnetic moment is 0.001 μB per formula unit. As for the crystal system: orthorhombic. As for the space group: Immm (71). Its volume is 120.2 Å³/f.u.

DFT (meta-GGA SCAN) results for a crystal of CaLaTa relaxed with PBEsol.

Lattice parameters (Å, degrees): 5.096 5.096 5.096 60.00 60.00 60.00
Positions (direct):
Ca1 0.000 0.000 0.000
La1 0.500 0.500 0.500
Ta1 0.750 0.750 0.750

The calculation puts the calculated formation energy at 1.139 eV/atom. The value obtained for the total energy is -38.645 eV per atom. The value obtained for the magnetic moment is 2.845 μB per formula unit. As for the crystal system: cubic. As for the space group: F-43m (216). Its volume is 93.6 Å³/f.u.

DFT (meta-GGA SCAN) results for a crystal of Ca2LaTa relaxed with PBEsol.

Lattice parameters (Å, degrees): 5.448 5.448 5.448 60.00 60.00 60.00
Positions (direct):
Ca1 0.250 0.250 0.250
Ca2 0.750 0.750 0.750
La1 0.000 0.000 0.000
Ta1 0.500 0.500 0.500

The calculation puts the calculated formation energy at 0.795 eV/atom. The value obtained for the total energy is -31.459 eV per atom. The excess energy over the best structure of this formula in the dataset is 170.4 meV per atom. The value obtained for the magnetic moment is 2.013 μB per formula unit. As for the crystal system: cubic. As for the space group: Fm-3m (225). Its volume is 114.4 Å³/f.u.

DFT (meta-GGA SCAN) results for a crystal of CaLaYTc2 relaxed with PBEsol.

Lattice parameters (Å, degrees): 4.825 4.825 5.031 90.00 90.00 90.00
Positions (direct):
Ca1 0.000 0.000 0.000
La1 0.500 0.500 0.500
Y1 0.000 0.000 0.500
Tc1 0.000 0.500 0.000
Tc2 0.500 0.000 0.000

The calculation puts the calculated formation energy at 1.542 eV/atom. The value obtained for the total energy is -28.605 eV per atom. The value obtained for the magnetic moment is 2.595 μB per formula unit. As for the crystal system: tetragonal. As for the space group: P4/mmm (123). Its volume is 117.1 Å³/f.u.